# 1
CsCdNiSe3 (PBE, optimized geometry); polymorph energy (0 for the lowest one) = 0 meV per atom; mass density = 5.3 g/cm3; calculated total energy = -42.2 eV/cell; crystal system = monoclinic
1.0
8.3191 0.0000 0.0000
0.0000 3.7678 0.0000
-3.6580 0.0000 10.8767
Cd Cs Ni Se
2 2 2 6
direct
0.5208 0.7500 0.1291
0.4792 0.2500 0.8709
0.9988 0.2500 0.2208
0.0012 0.7500 0.7792
0.5527 0.2500 0.3937
0.4473 0.7500 0.6063
0.2885 0.2500 0.0297
0.7207 0.7500 0.3638
0.3711 0.7500 0.3839
0.6289 0.2500 0.6161
0.2793 0.2500 0.6362
0.7115 0.7500 0.9703


# 2
Bi2AuO5 (PBE, optimized geometry); mass density = 10.5 g/cm3; calculated total energy = -170.2 eV/cell; crystal system = tetragonal
1.0
-6.5216 -4.5635 -3.4557
4.8001 -1.5057 -7.0703
2.0955 -4.8548 2.4565
Au Bi O
4 8 20
direct
0.2500 0.2500 0.0974
0.7500 0.7500 0.4026
0.2500 0.2500 0.5974
0.7500 0.7500 0.9026
0.6019 0.1019 0.2500
0.8981 0.3981 0.2500
0.3981 0.6019 0.2500
0.1019 0.8981 0.2500
0.8981 0.1019 0.7500
0.6019 0.3981 0.7500
0.1019 0.6019 0.7500
0.3981 0.8981 0.7500
0.7500 0.2500 0.0000
0.2500 0.7500 0.0000
0.3326 0.0346 0.1125
0.0346 0.1674 0.1125
0.4654 0.3326 0.1125
0.1674 0.4654 0.1125
0.6674 0.5346 0.3875
0.9654 0.6674 0.3875
0.5346 0.8326 0.3875
0.8326 0.9654 0.3875
0.7500 0.2500 0.5000
0.2500 0.7500 0.5000
0.1674 0.0346 0.6125
0.4654 0.1674 0.6125
0.0346 0.3326 0.6125
0.3326 0.4654 0.6125
0.8326 0.5346 0.8875
0.5346 0.6674 0.8875
0.9654 0.8326 0.8875
0.6674 0.9654 0.8875